Below is crystalline Tl2BiAs2 at its relaxed geometry, with properties calculated at the PBE level.

Structure (POSCAR):
```
Tl2BiAs2
1.0
8.9957 0.0000 0.0000
0.0000 8.9957 0.0000
0.0000 0.0000 3.3090
Tl Bi As
4 2 4
Direct
0.1327 0.3673 0.0000
0.3673 0.8673 0.0000
0.6327 0.1327 0.0000
0.8673 0.6327 0.0000
0.0000 0.0000 0.0000
0.5000 0.5000 0.0000
0.1670 0.6670 0.5000
0.3330 0.1670 0.5000
0.6670 0.8330 0.5000
0.8330 0.3330 0.5000
```

Values from the calculation:
E_form	8.29	kcal/mol of atoms
total DFT energy (no corrections)	-3.22	eV per atom
M_tot	0.00	μB/f.u.
density of states at the Fermi level	7.0	states/eV per cell
SG	P4/mbm, No. 127
ΔE to the lowest computed polymorph	0.253	eV/atom